Entry 1:
Entry from the Alexandria database: crystalline Sc2SeBr at its relaxed geometry (PBE).

Structure (extended XYZ):
```
4
Lattice="-1.9015 1.9015 6.4097 1.9015 -1.9015 6.4097 1.9015 1.9015 -6.4097" Properties=species:S:1:pos:R:3 pbc="T T T"
Sc 0.0000 0.0000 0.0000
Sc 0.0000 1.9015 3.2048
Se 1.9015 0.0000 3.2048
Br 0.0000 0.0000 6.4097
```

Values from the calculation:
N(E_F), states/eV per atom: 0.76
Formation energy without anion corrections, meV/atom: -888
SG: I-4m2, No. 119
Energy above the most stable polymorph in this dataset, eV per atom: 0.3483

Entry 2:
Entry from the Alexandria database: crystalline Pr5Hg2RuRh2 at its relaxed geometry (PBE).

Structure (extended XYZ):
```
20
Lattice="11.9281 0.0000 0.0000 0.0000 11.9281 0.0000 0.0000 0.0000 3.6965" Properties=species:S:1:pos:R:3 pbc="T T T"
Pr 0.0000 5.9640 0.0000
Pr 0.9145 2.2847 0.0000
Pr 2.2847 11.0136 0.0000
Pr 3.6793 5.0496 0.0000
Pr 5.0496 8.2487 0.0000
Pr 5.9640 0.0000 0.0000
Pr 6.8785 3.6793 0.0000
Pr 8.2487 6.8785 0.0000
Pr 9.6434 0.9145 0.0000
Pr 11.0136 9.6434 0.0000
Hg 2.1064 8.0705 1.8483
Hg 3.8576 2.1064 1.8483
Hg 8.0705 9.8216 1.8483
Hg 9.8216 3.8576 1.8483
Ru 0.0000 0.0000 1.8483
Ru 5.9640 5.9640 1.8483
Rh 1.5940 4.3700 1.8483
Rh 4.3700 10.3341 1.8483
Rh 7.5580 1.5940 1.8483
Rh 10.3341 7.5580 1.8483
```

Values from the calculation:
N(E_F), states/eV per atom: 0.67
SG: P4/mbm, No. 127
Energy of formation from the pure elements, meV per atom: -389

Entry 3:
Entry from the Alexandria database: crystalline KLiMo at its relaxed geometry (PBE).

Structure (extended XYZ):
```
3
Lattice="0.0000 3.7579 3.7579 3.7579 0.0000 3.7579 3.7579 3.7579 0.0000" Properties=species:S:1:pos:R:3 pbc="T T T"
K 0.0000 0.0000 0.0000
Li 1.8789 1.8789 1.8789
Mo 3.7579 3.7579 3.7579
```

Values from the calculation:
N(E_F), states/eV per atom: 0.97
SG: F-43m, No. 216
Energy of formation from the pure elements, meV per atom: 1643
Energy above the most stable polymorph in this dataset, eV per atom: 0.6910

Entry 4:
Entry from the Alexandria database: crystalline RuSNF2 at its relaxed geometry (PBE).

Structure (extended XYZ):
```
5
Lattice="4.6414 0.0000 0.0000 0.0000 4.6414 0.0000 0.0000 0.0000 3.2701" Properties=species:S:1:pos:R:3 pbc="T T T"
Ru 0.0000 0.0000 0.0000
S 2.3207 2.3207 1.6350
N 2.3207 2.3207 0.0000
F 0.0000 2.3207 1.6350
F 2.3207 0.0000 1.6350
```

Values from the calculation:
N(E_F), states/eV per atom: 0.59
Formation energy without anion corrections, meV/atom: 619
SG: P4/mmm, No. 123
Energy above the most stable polymorph in this dataset, eV per atom: 0.4906

Entry 5:
Entry from the Alexandria database: crystalline LaTb5Pr12 at its relaxed geometry (PBE).

Structure (extended XYZ):
```
18
Lattice="11.0246 0.0000 0.0000 0.0000 5.2057 0.0000 -0.0126 0.0000 11.0348" Properties=species:S:1:pos:R:3 pbc="T T T"
La 0.0000 0.0000 0.0000
Tb 1.8448 2.6029 9.1782
Tb 3.6651 0.0000 7.3580
Tb 5.5060 2.6029 5.5174
Tb 7.3469 0.0000 3.6768
Tb 9.1672 2.6029 1.8566
Pr 0.0128 0.0000 7.3558
Pr 1.8380 2.6029 1.8424
Pr 1.8617 2.6029 5.5403
Pr 3.6621 0.0000 11.0141
Pr 3.6984 0.0000 3.7056
Pr 5.4780 2.6029 9.1660
Pr 5.5341 2.6029 1.8688
Pr 7.3136 0.0000 7.3292
Pr 7.3499 0.0000 0.0207
Pr 9.1503 2.6029 5.4945
Pr 9.1740 2.6029 9.1924
Pr 10.9992 0.0000 3.6790
```

Values from the calculation:
N(E_F), states/eV per atom: 1.65
SG: P2/m, No. 10
Energy of formation from the pure elements, meV per atom: 18